Entry 1:
A relaxed structure of NaCdGa2Pt2, computed with GGA-PBE.

Lattice parameters (Å, degrees): 4.4987 4.4987 5.8522 90.00 90.00 120.00
Element x y z (fractional)
Ga 0.3333 0.6667 0.2150
Ga 0.6667 0.3333 0.7850
Na 0.0000 0.0000 0.0000
Pt 0.3333 0.6667 0.7340
Pt 0.6667 0.3333 0.2660
Cd 0.0000 0.0000 0.5000

Values from the calculation:
For the total energy, the calculation gives -3.816 eV/atom. The calculation puts the formation energy at -0.4207 eV/atom.

Entry 2:
A relaxed structure of Na2CdGa2Pt5, computed with GGA-PBE.

Lattice parameters (Å, degrees): 3.7957 9.5916 9.5916 90.00 90.00 90.00
Element x y z (fractional)
Pt 0.5000 0.5674 0.7069
Pt 0.5000 0.9326 0.2069
Pt 0.5000 0.0674 0.7931
Pt 0.5000 0.4326 0.2931
Pt 0.5000 0.2931 0.5674
Pt 0.5000 0.7069 0.4326
Pt 0.5000 0.7931 0.9326
Pt 0.5000 0.2069 0.0674
Pt 0.5000 0.0000 0.5000
Pt 0.5000 0.5000 0.0000
Cd 0.0000 0.5000 0.5000
Cd 0.0000 0.0000 0.0000
Ga 0.0000 0.6279 0.8721
Ga 0.0000 0.1279 0.6279
Ga 0.0000 0.8721 0.3721
Ga 0.0000 0.3721 0.1279
Na 0.0000 0.6728 0.1728
Na 0.0000 0.3272 0.8272
Na 0.0000 0.8272 0.6728
Na 0.0000 0.1728 0.3272

Values from the calculation:
For the total energy, the calculation gives -4.425 eV/atom. The calculation puts the formation energy at -0.4439 eV/atom.